No. 1
Entry from Alexandria via LeMat-Bulk: crystalline Pr5Nd2Tm12 at its relaxed geometry (GGA-PBE).

Output
Its calculated formation energy is 7.3 kJ/mol of atoms. The calculation puts the distance to the lowest polymorph of the same formula at 0.00 eV per formula unit. The calculation puts the volume at 32.39 Å³/atom. As for the space-group type: P-1, No. 2.

a b c (Å): 6.471 8.812 11.862
angles (deg): 73.63 74.62 75.94
Fractional positions:
Pr (0.000, 0.000, 0.000)
Pr (0.225, 0.342, 0.017)
Pr (0.357, 0.860, 0.466)
Pr (0.643, 0.140, 0.534)
Pr (0.775, 0.658, 0.983)
Nd (0.270, 0.468, 0.442)
Nd (0.730, 0.532, 0.558)
Tm (0.074, 0.117, 0.667)
Tm (0.086, 0.238, 0.325)
Tm (0.257, 0.630, 0.146)
Tm (0.283, 0.396, 0.728)
Tm (0.362, 0.727, 0.805)
Tm (0.436, 0.963, 0.155)
Tm (0.564, 0.037, 0.845)
Tm (0.638, 0.273, 0.195)
Tm (0.717, 0.604, 0.272)
Tm (0.743, 0.370, 0.854)
Tm (0.914, 0.762, 0.675)
Tm (0.926, 0.883, 0.333)

---

No. 2
Entry from Alexandria via LeMat-Bulk: crystalline Pr3NdTm4 at its relaxed geometry (GGA-PBE).

Output
Its calculated formation energy is 2.4 kJ/mol of atoms. The calculation puts the distance to the lowest polymorph of the same formula at 0.00 eV per formula unit. The calculation puts the volume at 32.93 Å³/atom. As for the space-group type: Pmna, No. 53.

a b c (Å): 10.205 7.186 7.185
angles (deg): 90.00 90.00 90.00
Fractional positions:
Pr (0.000, 0.000, 0.000)
Pr (0.250, 0.251, 0.250)
Pr (0.250, 0.749, 0.750)
Pr (0.500, 0.000, 0.500)
Pr (0.750, 0.251, 0.250)
Pr (0.750, 0.749, 0.750)
Nd (0.000, 0.500, 0.500)
Nd (0.500, 0.500, 0.000)
Tm (0.000, 0.000, 0.500)
Tm (0.000, 0.500, 0.000)
Tm (0.250, 0.250, 0.750)
Tm (0.250, 0.750, 0.250)
Tm (0.500, 0.000, 0.000)
Tm (0.500, 0.500, 0.500)
Tm (0.750, 0.250, 0.750)
Tm (0.750, 0.750, 0.250)

---

No. 3
Entry from Alexandria via LeMat-Bulk: crystalline PrNd6Tm12 at its relaxed geometry (GGA-PBE).

Output
Its calculated formation energy is 21.1 kJ/mol of atoms. The calculation puts the distance to the lowest polymorph of the same formula at 1.91 eV per formula unit. The calculation puts the volume at 33.30 Å³/atom. As for the space-group type: R-3m, No. 166.

a b c (Å): 8.698 8.698 8.698
angles (deg): 98.70 98.70 98.70
Fractional positions:
Pr (0.000, 0.000, 0.000)
Nd (0.101, 0.101, 0.653)
Nd (0.101, 0.653, 0.101)
Nd (0.347, 0.899, 0.899)
Nd (0.653, 0.101, 0.101)
Nd (0.899, 0.347, 0.899)
Nd (0.899, 0.899, 0.347)
Tm (0.080, 0.355, 0.355)
Tm (0.245, 0.500, 0.755)
Tm (0.245, 0.755, 0.500)
Tm (0.355, 0.080, 0.355)
Tm (0.355, 0.355, 0.080)
Tm (0.500, 0.245, 0.755)
Tm (0.500, 0.755, 0.245)
Tm (0.645, 0.645, 0.920)
Tm (0.645, 0.920, 0.645)
Tm (0.755, 0.245, 0.500)
Tm (0.755, 0.500, 0.245)
Tm (0.920, 0.645, 0.645)

---

No. 4
Entry from Alexandria via LeMat-Bulk: crystalline Pr7NdTm12 at its relaxed geometry (GGA-PBE).

Output
Its calculated formation energy is 21.9 kJ/mol of atoms. The calculation puts the distance to the lowest polymorph of the same formula at 0.00 eV per formula unit. The calculation puts the volume at 33.61 Å³/atom. As for the space-group type: R-3, No. 148.

a b c (Å): 8.780 8.780 8.780
angles (deg): 86.04 86.04 86.04
Fractional positions:
Pr (0.000, 0.000, 0.000)
Pr (0.102, 0.341, 0.427)
Pr (0.341, 0.427, 0.102)
Pr (0.427, 0.102, 0.341)
Pr (0.573, 0.898, 0.659)
Pr (0.659, 0.573, 0.898)
Pr (0.898, 0.659, 0.573)
Nd (0.500, 0.500, 0.500)
Tm (0.003, 0.366, 0.880)
Tm (0.120, 0.997, 0.634)
Tm (0.226, 0.760, 0.354)
Tm (0.240, 0.646, 0.774)
Tm (0.354, 0.226, 0.760)
Tm (0.366, 0.880, 0.003)
Tm (0.634, 0.120, 0.997)
Tm (0.646, 0.774, 0.240)
Tm (0.760, 0.354, 0.226)
Tm (0.774, 0.240, 0.646)
Tm (0.880, 0.003, 0.366)
Tm (0.997, 0.634, 0.120)

---

No. 5
Entry from Alexandria via LeMat-Bulk: crystalline Pr12NdTm6 at its relaxed geometry (GGA-PBE).

Output
Its calculated formation energy is 12.1 kJ/mol of atoms. The calculation puts the distance to the lowest polymorph of the same formula at 0.00 eV per formula unit. The calculation puts the volume at 34.87 Å³/atom. As for the space-group type: R-3, No. 148.

a b c (Å): 8.720 8.720 8.720
angles (deg): 88.77 88.77 88.77
Fractional positions:
Pr (0.018, 0.365, 0.194)
Pr (0.194, 0.018, 0.365)
Pr (0.217, 0.567, 0.465)
Pr (0.365, 0.194, 0.018)
Pr (0.433, 0.535, 0.783)
Pr (0.465, 0.217, 0.567)
Pr (0.535, 0.783, 0.433)
Pr (0.567, 0.465, 0.217)
Pr (0.635, 0.806, 0.982)
Pr (0.783, 0.433, 0.535)
Pr (0.806, 0.982, 0.635)
Pr (0.982, 0.635, 0.806)
Nd (0.000, 0.000, 0.000)
Tm (0.101, 0.258, 0.704)
Tm (0.258, 0.704, 0.101)
Tm (0.296, 0.899, 0.742)
Tm (0.704, 0.101, 0.258)
Tm (0.742, 0.296, 0.899)
Tm (0.899, 0.742, 0.296)

---

No. 6
Entry from Alexandria via LeMat-Bulk: crystalline PrNd4Tm3 at its relaxed geometry (GGA-PBE).

Output
Its calculated formation energy is 2.8 kJ/mol of atoms. The calculation puts the distance to the lowest polymorph of the same formula at 0.10 eV per formula unit. The calculation puts the volume at 33.67 Å³/atom. As for the space-group type: Pmn2_1, No. 31.

a b c (Å): 11.607 7.341 6.323
angles (deg): 90.00 90.00 90.00
Fractional positions:
Pr (0.000, 0.126, 0.000)
Pr (0.500, 0.874, 0.500)
Nd (0.000, 0.370, 0.506)
Nd (0.000, 0.630, 0.992)
Nd (0.244, 0.626, 0.334)
Nd (0.256, 0.374, 0.834)
Nd (0.500, 0.370, 0.492)
Nd (0.500, 0.630, 0.006)
Nd (0.744, 0.374, 0.834)
Nd (0.756, 0.626, 0.334)
Tm (0.000, 0.880, 0.499)
Tm (0.250, 0.120, 0.333)
Tm (0.250, 0.880, 0.833)
Tm (0.500, 0.120, 0.999)
Tm (0.750, 0.120, 0.333)
Tm (0.750, 0.880, 0.833)

---

No. 7
Entry from Alexandria via LeMat-Bulk: crystalline PrNd6Tm2 at its relaxed geometry (GGA-PBE).

Output
Its calculated formation energy is 10.2 kJ/mol of atoms. The calculation puts the distance to the lowest polymorph of the same formula at 0.00 eV per formula unit. The calculation puts the volume at 34.02 Å³/atom. As for the space-group type: C2/m, No. 12.

a b c (Å): 10.169 10.169 3.675
angles (deg): 94.17 94.17 125.33
Fractional positions:
Pr (0.000, 0.000, 0.000)
Nd (0.161, 0.500, 0.178)
Nd (0.334, 0.334, 0.676)
Nd (0.500, 0.161, 0.178)
Nd (0.500, 0.839, 0.822)
Nd (0.666, 0.666, 0.324)
Nd (0.839, 0.500, 0.822)
Tm (0.166, 0.834, 0.500)
Tm (0.834, 0.166, 0.500)

---

No. 8
Entry from Alexandria via LeMat-Bulk: crystalline Pr2Nd5Tm at its relaxed geometry (GGA-PBE).

Output
Its calculated formation energy is 13.8 kJ/mol of atoms. The calculation puts the distance to the lowest polymorph of the same formula at 1.03 eV per formula unit. The calculation puts the volume at 35.17 Å³/atom. As for the space-group type: P2_1/c, No. 14.

a b c (Å): 12.125 10.286 9.029
angles (deg): 90.00 92.02 90.00
Fractional positions:
Pr (0.147, 0.000, 0.095)
Pr (0.147, 0.500, 0.595)
Pr (0.291, 0.000, 0.786)
Pr (0.291, 0.500, 0.286)
Pr (0.709, 0.000, 0.214)
Pr (0.709, 0.500, 0.714)
Pr (0.853, 0.000, 0.905)
Pr (0.853, 0.500, 0.405)
Nd (0.001, 0.249, 0.751)
Nd (0.001, 0.251, 0.251)
Nd (0.234, 0.174, 0.453)
Nd (0.234, 0.326, 0.953)
Nd (0.234, 0.674, 0.952)
Nd (0.234, 0.826, 0.452)
Nd (0.416, 0.662, 0.647)
Nd (0.416, 0.838, 0.147)
Nd (0.417, 0.161, 0.147)
Nd (0.417, 0.339, 0.647)
Nd (0.583, 0.661, 0.353)
Nd (0.583, 0.839, 0.853)
Nd (0.584, 0.162, 0.853)
Nd (0.584, 0.338, 0.353)
Nd (0.766, 0.174, 0.548)
Nd (0.766, 0.326, 0.048)
Nd (0.766, 0.674, 0.047)
Nd (0.766, 0.826, 0.547)
Nd (0.999, 0.749, 0.749)
Nd (0.999, 0.751, 0.249)
Tm (0.000, 0.000, 0.500)
Tm (0.000, 0.500, 0.000)
Tm (0.500, 0.000, 0.500)
Tm (0.500, 0.500, 0.000)

---

No. 9
Entry from Alexandria via LeMat-Bulk: crystalline Pr3Nd4Tm4 at its relaxed geometry (GGA-PBE).

Output
Its calculated formation energy is 2.0 kJ/mol of atoms. The calculation puts the distance to the lowest polymorph of the same formula at 0.00 eV per formula unit. The calculation puts the volume at 33.51 Å³/atom. As for the space-group type: Immm, No. 71.

a b c (Å): 20.109 20.109 20.109
angles (deg): 169.63 165.42 17.93
Fractional positions:
Pr (0.000, 0.000, 0.000)
Pr (0.363, 0.363, 0.000)
Pr (0.637, 0.637, 0.000)
Nd (0.184, 0.184, 0.000)
Nd (0.454, 0.454, 0.000)
Nd (0.546, 0.546, 0.000)
Nd (0.816, 0.816, 0.000)
Tm (0.092, 0.092, 0.000)
Tm (0.272, 0.272, 0.000)
Tm (0.728, 0.728, 0.000)
Tm (0.908, 0.908, 0.000)

---

No. 10
Entry from Alexandria via LeMat-Bulk: crystalline PrNd4Tm15 at its relaxed geometry (GGA-PBE).

Output
Its calculated formation energy is 2.7 kJ/mol of atoms. The calculation puts the volume at 31.28 Å³/atom. As for the space-group type: P4/mmm, No. 123.

a b c (Å): 5.011 5.011 24.920
angles (deg): 90.00 90.00 90.00
Fractional positions:
Pr (0.000, 0.000, 0.000)
Nd (0.000, 0.000, 0.200)
Nd (0.000, 0.000, 0.400)
Nd (0.000, 0.000, 0.600)
Nd (0.000, 0.000, 0.800)
Tm (0.000, 0.500, 0.100)
Tm (0.000, 0.500, 0.300)
Tm (0.000, 0.500, 0.500)
Tm (0.000, 0.500, 0.700)
Tm (0.000, 0.500, 0.900)
Tm (0.500, 0.000, 0.100)
Tm (0.500, 0.000, 0.300)
Tm (0.500, 0.000, 0.500)
Tm (0.500, 0.000, 0.700)
Tm (0.500, 0.000, 0.900)
Tm (0.500, 0.500, 0.000)
Tm (0.500, 0.500, 0.200)
Tm (0.500, 0.500, 0.400)
Tm (0.500, 0.500, 0.600)
Tm (0.500, 0.500, 0.800)

---

No. 11
Entry from Alexandria via LeMat-Bulk: crystalline Pr6Nd12Tm at its relaxed geometry (GGA-PBE).

Output
Its calculated formation energy is 12.0 kJ/mol of atoms. The calculation puts the distance to the lowest polymorph of the same formula at 0.00 eV per formula unit. The calculation puts the volume at 35.80 Å³/atom. As for the space-group type: R-3, No. 148.

a b c (Å): 8.795 8.795 8.795
angles (deg): 89.38 89.38 89.38
Fractional positions:
Pr (0.199, 0.595, 0.763)
Pr (0.237, 0.801, 0.405)
Pr (0.405, 0.237, 0.801)
Pr (0.595, 0.763, 0.199)
Pr (0.763, 0.199, 0.595)
Pr (0.801, 0.405, 0.237)
Nd (0.035, 0.280, 0.936)
Nd (0.064, 0.965, 0.720)
Nd (0.141, 0.309, 0.482)
Nd (0.280, 0.936, 0.035)
Nd (0.309, 0.482, 0.141)
Nd (0.482, 0.141, 0.309)
Nd (0.518, 0.859, 0.691)
Nd (0.691, 0.518, 0.859)
Nd (0.720, 0.064, 0.965)
Nd (0.859, 0.691, 0.518)
Nd (0.936, 0.035, 0.280)
Nd (0.965, 0.720, 0.064)
Tm (0.500, 0.500, 0.500)

---

No. 12
Entry from Alexandria via LeMat-Bulk: crystalline Pr3Nd3Tm at its relaxed geometry (GGA-PBE).

Output
Its calculated formation energy is 2.7 kJ/mol of atoms. The calculation puts the distance to the lowest polymorph of the same formula at 0.00 eV per formula unit. The calculation puts the volume at 35.25 Å³/atom. As for the space-group type: P2_1/m, No. 11.

a b c (Å): 9.817 5.906 9.823
angles (deg): 90.00 119.95 90.00
Fractional positions:
Pr (0.048, 0.250, 0.242)
Pr (0.193, 0.250, 0.952)
Pr (0.242, 0.750, 0.194)
Pr (0.758, 0.250, 0.806)
Pr (0.807, 0.750, 0.048)
Pr (0.952, 0.750, 0.758)
Nd (0.096, 0.750, 0.478)
Nd (0.383, 0.750, 0.904)
Nd (0.478, 0.250, 0.383)
Nd (0.522, 0.750, 0.617)
Nd (0.617, 0.250, 0.096)
Nd (0.904, 0.250, 0.522)
Tm (0.333, 0.250, 0.667)
Tm (0.667, 0.750, 0.333)

---

No. 13
Entry from Alexandria via LeMat-Bulk: crystalline Pr2NdTm8 at its relaxed geometry (GGA-PBE).

Output
Its calculated formation energy is 2.9 kJ/mol of atoms. The calculation puts the distance to the lowest polymorph of the same formula at 0.00 eV per formula unit. The calculation puts the volume at 31.59 Å³/atom. As for the space-group type: C2/m, No. 12.

a b c (Å): 9.387 9.387 7.926
angles (deg): 104.61 104.61 31.03
Fractional positions:
Pr (0.227, 0.227, 0.138)
Pr (0.773, 0.773, 0.862)
Nd (0.500, 0.500, 0.500)
Tm (0.044, 0.044, 0.226)
Tm (0.136, 0.136, 0.678)
Tm (0.319, 0.319, 0.593)
Tm (0.411, 0.411, 0.045)
Tm (0.589, 0.589, 0.955)
Tm (0.681, 0.681, 0.407)
Tm (0.864, 0.864, 0.322)
Tm (0.956, 0.956, 0.774)

---

No. 14
Entry from Alexandria via LeMat-Bulk: crystalline PrNd3Tm12 at its relaxed geometry (GGA-PBE).

Output
Its calculated formation energy is 2.8 kJ/mol of atoms. The calculation puts the volume at 31.33 Å³/atom. As for the space-group type: P4/mmm, No. 123.

a b c (Å): 5.004 5.004 20.021
angles (deg): 90.00 90.00 90.00
Fractional positions:
Pr (0.000, 0.000, 0.000)
Nd (0.000, 0.000, 0.250)
Nd (0.000, 0.000, 0.500)
Nd (0.000, 0.000, 0.750)
Tm (0.000, 0.500, 0.125)
Tm (0.000, 0.500, 0.375)
Tm (0.000, 0.500, 0.625)
Tm (0.000, 0.500, 0.875)
Tm (0.500, 0.000, 0.125)
Tm (0.500, 0.000, 0.375)
Tm (0.500, 0.000, 0.625)
Tm (0.500, 0.000, 0.875)
Tm (0.500, 0.500, 0.000)
Tm (0.500, 0.500, 0.250)
Tm (0.500, 0.500, 0.500)
Tm (0.500, 0.500, 0.750)

---

No. 15
Entry from Alexandria via LeMat-Bulk: crystalline Pr4NdTm2 at its relaxed geometry (GGA-PBE).

Output
Its calculated formation energy is 24.6 kJ/mol of atoms. The calculation puts the distance to the lowest polymorph of the same formula at 1.33 eV per formula unit. The calculation puts the volume at 34.94 Å³/atom. As for the space-group type: Imma, No. 74.

a b c (Å): 9.090 9.090 9.090
angles (deg): 135.13 100.88 95.89
Fractional positions:
Pr (0.151, 0.151, 0.000)
Pr (0.260, 0.232, 0.472)
Pr (0.260, 0.788, 0.028)
Pr (0.349, 0.849, 0.500)
Pr (0.651, 0.151, 0.500)
Pr (0.740, 0.212, 0.972)
Pr (0.740, 0.768, 0.528)
Pr (0.849, 0.849, 0.000)
Nd (0.000, 0.000, 0.500)
Nd (0.000, 0.500, 0.000)
Tm (0.000, 0.500, 0.500)
Tm (0.469, 0.719, 0.750)
Tm (0.500, 0.500, 0.000)
Tm (0.531, 0.281, 0.250)

---

No. 16
Entry from Alexandria via LeMat-Bulk: crystalline Pr4NdTm7 at its relaxed geometry (GGA-PBE).

Output
Its calculated formation energy is 24.5 kJ/mol of atoms. The calculation puts the distance to the lowest polymorph of the same formula at 2.76 eV per formula unit. The calculation puts the volume at 33.75 Å³/atom. As for the space-group type: C2/m, No. 12.

a b c (Å): 6.749 6.749 12.798
angles (deg): 114.76 114.76 51.72
Fractional positions:
Pr (0.135, 0.135, 0.277)
Pr (0.279, 0.279, 0.836)
Pr (0.721, 0.721, 0.164)
Pr (0.865, 0.865, 0.723)
Nd (0.500, 0.500, 0.500)
Tm (0.000, 0.000, 0.500)
Tm (0.133, 0.133, 0.995)
Tm (0.289, 0.289, 0.577)
Tm (0.430, 0.430, 0.187)
Tm (0.570, 0.570, 0.813)
Tm (0.711, 0.711, 0.423)
Tm (0.867, 0.867, 0.005)

---

No. 17
Entry from Alexandria via LeMat-Bulk: crystalline Pr2Nd12Tm5 at its relaxed geometry (GGA-PBE).

Output
Its calculated formation energy is 10.4 kJ/mol of atoms. The calculation puts the distance to the lowest polymorph of the same formula at 0.00 eV per formula unit. The calculation puts the volume at 34.10 Å³/atom. As for the space-group type: C2/m, No. 12.

a b c (Å): 10.752 10.752 6.245
angles (deg): 98.89 98.89 65.93
Fractional positions:
Pr (0.218, 0.782, 0.000)
Pr (0.782, 0.218, 0.000)
Nd (0.054, 0.541, 0.787)
Nd (0.080, 0.080, 0.346)
Nd (0.160, 0.634, 0.378)
Nd (0.366, 0.840, 0.622)
Nd (0.397, 0.397, 0.970)
Nd (0.459, 0.946, 0.213)
Nd (0.541, 0.054, 0.787)
Nd (0.603, 0.603, 0.030)
Nd (0.634, 0.160, 0.378)
Nd (0.840, 0.366, 0.622)
Nd (0.920, 0.920, 0.654)
Nd (0.946, 0.459, 0.213)
Tm (0.178, 0.178, 0.883)
Tm (0.283, 0.283, 0.430)
Tm (0.500, 0.500, 0.500)
Tm (0.717, 0.717, 0.570)
Tm (0.822, 0.822, 0.117)